Entry from the Alexandria database: crystalline TaHSeN2 at its relaxed geometry (PBE-GGA).

Geometry as POSCAR:
```
TaHSeN2
1.0
4.011 0.000 0.000
0.000 4.011 0.000
0.000 0.000 3.040
H N Se Ta
1 2 1 1
Direct
0.000 0.000 0.000
0.000 0.500 0.000
0.500 0.000 0.000
0.000 0.000 0.500
0.500 0.500 0.500
```

Computed properties:
For the energy above the most stable polymorph in this dataset, the calculation gives 549.3 meV per atom. The density of states at the Fermi level is 2.383 states/eV/f.u. Its volume is 49 Å³ per cell. As for the size of the total moment: 0.00 μB per formula unit.

Entry from the Alexandria database: crystalline HfBeNi2Rh at its relaxed geometry (PBE-GGA).

Geometry as POSCAR:
```
HfBeNi2Rh
1.0
-0.875 -4.424 0.481
0.457 -0.509 -3.853
4.419 -0.805 0.631
Rh Hf Be Ni
1 1 1 2
Direct
0.000 0.000 0.000
0.500 0.500 0.500
0.000 0.500 0.000
0.000 0.000 0.500
0.500 0.000 0.000
```

Computed properties:
The density of states at the Fermi level is 6.826 states/eV/f.u. Its volume is 80 Å³ per cell. As for the formation energy from the elements: 0.57 eV/atom. As for the size of the total moment: 1.00 μB per formula unit.

Entry from the Alexandria database: crystalline CoNiSeN2 at its relaxed geometry (PBE-GGA).

Geometry as POSCAR:
```
CoNiSeN2
1.0
-0.321 0.668 3.401
-2.710 -2.178 0.172
3.525 -4.295 1.176
Ni Co Se N
1 1 1 2
Direct
0.500 0.500 0.500
0.000 0.000 0.000
0.000 0.000 0.500
0.000 0.500 0.000
0.500 0.000 0.000
```

Computed properties:
For the energy above the most stable polymorph in this dataset, the calculation gives 0.0 meV per atom. The density of states at the Fermi level is 4.984 states/eV/f.u. For the energy relative to the elements, uncorrected, the calculation gives 1.00 eV per atom. Its volume is 69 Å³ per cell. As for the size of the total moment: 0.00 μB per formula unit.

Entry from the Alexandria database: crystalline KAuI2O at its relaxed geometry (PBE-GGA).

Geometry as POSCAR:
```
KAuI2O
1.0
6.450 0.000 0.000
0.000 6.450 0.000
0.000 0.000 4.977
I K Au O
2 1 1 1
Direct
0.000 0.500 0.000
0.500 0.000 0.000
0.000 0.000 0.000
0.500 0.500 0.500
0.000 0.000 0.500
```

Computed properties:
For the energy above the most stable polymorph in this dataset, the calculation gives 941.7 meV per atom. The density of states at the Fermi level is 5.477 states/eV/f.u. For the energy relative to the elements, uncorrected, the calculation gives 0.54 eV per atom. Its volume is 207 Å³ per cell. As for the size of the total moment: 2.05 μB per formula unit.

Entry from the Alexandria database: crystalline InGaAu2 at its relaxed geometry (PBE-GGA).

Geometry as POSCAR:
```
InGaAu2
1.0
-0.776 -1.012 7.493
-2.518 -7.067 -1.215
1.129 -5.055 3.289
Au Ga In
4 2 2
Direct
0.598 0.125 0.250
0.152 0.625 0.250
0.375 0.402 0.750
0.875 0.848 0.750
0.500 0.500 0.000
0.250 0.750 0.500
0.000 0.000 0.000
0.750 0.250 0.500
```

Computed properties:
The density of states at the Fermi level is 1.814 states/eV/f.u. Its volume is 171 Å³ per cell. As for the formation energy from the elements: -0.06 eV/atom. As for the size of the total moment: 0.00 μB per formula unit.

Entry from the Alexandria database: crystalline MnCu at its relaxed geometry (PBE-GGA).

Geometry as POSCAR:
```
MnCu
1.0
4.031 0.000 0.000
2.016 3.491 0.000
2.016 1.164 3.291
Cu Mn
2 2
Direct
0.000 0.000 0.000
0.250 0.250 0.250
0.750 0.750 0.750
0.500 0.500 0.500
```

Computed properties:
The density of states at the Fermi level is 2.137 states/eV/f.u. Its volume is 46 Å³ per cell. As for the formation energy from the elements: 0.35 eV/atom. As for the size of the total moment: 1.26 μB per formula unit.

Entry from the Alexandria database: crystalline AsRuPt2 at its relaxed geometry (PBE-GGA).

Geometry as POSCAR:
```
AsRuPt2
1.0
4.146 0.000 0.000
0.000 3.846 0.000
0.000 0.000 3.846
Ru As Pt
1 1 2
Direct
0.500 0.500 0.000
0.500 0.000 0.500
0.000 0.000 0.000
0.000 0.500 0.500
```

Computed properties:
The density of states at the Fermi level is 2.718 states/eV/f.u. Its volume is 61 Å³ per cell. As for the formation energy from the elements: 0.04 eV/atom. As for the size of the total moment: 0.00 μB per formula unit.

Entry from the Alexandria database: crystalline ErLuAs at its relaxed geometry (PBE-GGA).

Geometry as POSCAR:
```
ErLuAs
1.0
4.122 0.000 0.000
0.000 4.647 0.000
0.000 -2.324 4.025
As Lu Er
1 1 1
Direct
0.031 0.000 0.000
0.234 0.333 0.667
0.735 0.667 0.333
```

Computed properties:
For the energy above the most stable polymorph in this dataset, the calculation gives 0.0 meV per atom. The density of states at the Fermi level is 3.105 states/eV/f.u. Its volume is 77 Å³ per cell. As for the formation energy from the elements: -0.52 eV/atom. As for the size of the total moment: 0.00 μB per formula unit.

Entry from the Alexandria database: crystalline MgPCl at its relaxed geometry (PBE-GGA).

Geometry as POSCAR:
```
MgPCl
1.0
4.606 0.000 0.000
2.303 3.989 0.000
2.303 1.330 3.761
Cl Mg P
1 1 1
Direct
0.000 0.000 0.000
0.500 0.500 0.500
0.250 0.250 0.250
```

Computed properties:
For the energy above the most stable polymorph in this dataset, the calculation gives 752.3 meV per atom. The density of states at the Fermi level is 4.242 states/eV/f.u. For the energy relative to the elements, uncorrected, the calculation gives 0.22 eV per atom. Its volume is 69 Å³ per cell. As for the size of the total moment: 0.22 μB per formula unit.

Entry from the Alexandria database: crystalline Tb2NdY3Bi6 at its relaxed geometry (PBE-GGA).

Geometry as POSCAR:
```
Tb2NdY3Bi6
1.0
7.813 -0.002 0.001
-3.906 6.766 0.001
-1.303 -2.256 7.355
Tb Nd Y Bi
2 1 3 6
Direct
0.333 0.667 0.000
0.667 0.333 0.000
0.000 0.000 0.000
0.165 0.835 0.500
0.835 0.165 0.500
0.500 0.500 0.500
0.915 0.578 0.746
0.746 0.746 0.252
0.085 0.422 0.254
0.578 0.915 0.746
0.254 0.254 0.748
0.422 0.085 0.254
```

Computed properties:
The density of states at the Fermi level is 2.212 states/eV/f.u. Its volume is 389 Å³ per cell. As for the formation energy from the elements: -0.90 eV/atom. As for the size of the total moment: 0.00 μB per formula unit.